[1]
Compound: HfZnNiIr
Source: the Open Quantum Materials Database
Functional: GGA-PBE
Structure: relaxed

## Properties
The formation energy comes out at -1.1 eV per formula unit. Its space group is F-43m.

Lattice parameters (Å, degrees): 4.4205 4.4205 4.4205 60.00 60.00 60.00
Fractional positions:
Ir1 0.5000 0.5000 0.5000
Zn1 0.0000 0.0000 0.0000
Hf1 0.2500 0.2500 0.2500
Ni1 0.7500 0.7500 0.7500

***

[2]
Compound: Hf3IrO
Source: the Open Quantum Materials Database
Functional: GGA-PBE
Structure: relaxed

## Properties
Its space group is Pnma. The value obtained for the electronic total energy is -10.18 eV/atom.

Lattice parameters (Å, degrees): 6.4250 8.8618 5.9042 90.00 90.00 90.00
Fractional positions:
Ir1 0.5953 0.2500 0.9535
Ir2 0.0953 0.2500 0.5465
Ir3 0.9047 0.7500 0.4535
Ir4 0.4047 0.7500 0.0465
Hf1 0.3111 0.4473 0.8137
Hf2 0.8111 0.0527 0.6863
Hf3 0.6889 0.9473 0.1863
Hf4 0.8111 0.4473 0.6863
Hf5 0.3111 0.0527 0.8137
Hf6 0.5140 0.7500 0.6090
Hf7 0.1889 0.5527 0.3137
Hf8 0.4860 0.2500 0.3910
Hf9 0.1889 0.9473 0.3137
Hf10 0.9860 0.2500 0.1090
Hf11 0.0140 0.7500 0.8910
Hf12 0.6889 0.5527 0.1863
O1 0.5000 0.5000 0.5000
O2 0.5000 0.0000 0.5000
O3 0.0000 0.5000 0.0000
O4 0.0000 0.0000 0.0000

***

Which formula does entry 1 have? HfZnNiIr